# 1
Below is Zr5Ti after structural relaxation, with properties calculated at the PBE-GGA level.

The value obtained for the total energy is -8.41 eV per atom. The density of states at the Fermi level comes out at 10.7 states/eV/cell. The formation enthalpy at 0 K is 0.032 eV per atom. The calculation puts the calculated volume at 22.43 A^3/atom.

It has space group Amm2 (No. 38), with a = 5.085 Å, b = 3.200 Å, c = 16.538 Å, α = 90.00°, β = 90.00° and γ = 90.00°. Symmetry generates all atoms from Zr at (0.000, 0.000, 0.000), Zr at (0.000, 0.000, 0.326), Zr at (0.500, 0.000, 0.112), Zr at (0.500, 0.000, 0.442), Zr at (0.500, 0.000, 0.773) and Ti at (0.000, 0.000, 0.664).


# 2
Below is Sm2Pd3Au2 after structural relaxation, with properties calculated at the PBE-GGA level.

The value obtained for the total energy is -5.16 eV per atom. The density of states at the Fermi level comes out at 6.7 states/eV/cell. The formation enthalpy at 0 K is -0.647 eV per atom. The calculation puts the calculated volume at 21.43 A^3/atom. The calculation puts the excess energy over the best structure of this formula in the dataset at 0.0000 eV/atom.

It has space group C2/m (No. 12), with a = 9.913 Å, b = 4.155 Å, c = 8.390 Å, α = 90.00°, β = 119.76° and γ = 90.00°. Symmetry generates all atoms from Sm at (0.200, 0.000, 0.276), Pd at (0.000, 0.500, 0.000), Pd at (0.027, 0.500, 0.353) and Au at (0.156, 0.000, 0.881).